1.
Material: KNb2Cu
Method: DFT, PBE-GGA
State: relaxed

extended XYZ file:
```
16
Lattice="6.671 0.000 0.000 0.000 6.671 0.000 0.000 0.000 6.671" Properties=species:S:1:pos:R:3 pbc="T T T"
K 0.000 0.000 0.000
K 0.000 3.335 3.335
K 3.335 0.000 3.335
K 3.335 3.335 0.000
Nb 1.668 1.668 1.668
Nb 1.668 1.668 5.003
Nb 1.668 5.003 1.668
Nb 1.668 5.003 5.003
Nb 5.003 1.668 1.668
Nb 5.003 1.668 5.003
Nb 5.003 5.003 1.668
Nb 5.003 5.003 5.003
Cu 0.000 0.000 3.335
Cu 0.000 3.335 0.000
Cu 3.335 0.000 0.000
Cu 3.335 3.335 3.335
```

Results
Energy, hartree per atom: -0.179
Energy above the lowest structure with this stoichiometry, meV/atom: 56
Calculated formation energy, kcal/mol of atoms: 33.89

---

2.
Material: K2NbCu2
Method: DFT, PBE-GGA
State: relaxed

extended XYZ file:
```
10
Lattice="9.172 0.000 0.000 0.000 9.172 0.000 0.000 0.000 2.786" Properties=species:S:1:pos:R:3 pbc="T T T"
K 1.161 3.425 0.000
K 3.425 8.011 0.000
K 5.747 1.161 0.000
K 8.011 5.747 0.000
Nb 0.000 0.000 1.393
Nb 4.586 4.586 1.393
Cu 1.645 6.231 1.393
Cu 2.941 1.645 1.393
Cu 6.231 7.527 1.393
Cu 7.527 2.941 1.393
```

Results
Energy, hartree per atom: -0.109
Energy above the lowest structure with this stoichiometry, meV/atom: 3
Calculated formation energy, kcal/mol of atoms: 26.13

---

3.
Material: KNbCu3
Method: DFT, PBE-GGA
State: relaxed

extended XYZ file:
```
5
Lattice="4.732 0.000 0.000 0.000 4.732 0.000 0.000 0.000 4.732" Properties=species:S:1:pos:R:3 pbc="T T T"
K 0.000 0.000 0.000
Nb 2.366 2.366 2.366
Cu 0.000 0.000 2.366
Cu 0.000 2.366 0.000
Cu 2.366 0.000 0.000
```

Results
Energy, hartree per atom: -0.101
Energy above the lowest structure with this stoichiometry, meV/atom: 929
Calculated formation energy, kcal/mol of atoms: 44.64

---

4.
Material: KNb3CuO9
Method: DFT, PBE-GGA
State: relaxed

extended XYZ file:
```
56
Lattice="8.960 0.000 0.000 0.000 10.263 0.000 0.000 0.000 7.866" Properties=species:S:1:pos:R:3 pbc="T T T"
K 0.762 2.456 0.000
K 0.762 2.676 3.933
K 8.198 7.587 3.933
K 8.198 7.807 0.000
Nb 1.755 5.776 6.011
Nb 1.755 9.618 2.078
Nb 1.843 5.762 1.996
Nb 1.843 9.632 5.929
Nb 3.856 2.533 5.929
Nb 3.856 2.599 1.996
Nb 5.104 7.664 1.996
Nb 5.104 7.730 5.929
Nb 7.117 0.630 5.929
Nb 7.117 4.501 1.996
Nb 7.205 0.645 2.078
Nb 7.205 4.487 6.011
Cu 4.480 0.000 3.852
Cu 4.480 0.000 7.841
Cu 4.480 5.131 3.908
Cu 4.480 5.131 7.785
O 0.000 0.000 1.407
O 0.000 0.000 6.310
O 0.000 5.131 2.377
O 0.000 5.131 5.339
O 1.309 5.742 7.795
O 1.309 9.652 3.862
O 1.331 7.684 1.880
O 1.331 7.710 5.813
O 2.457 1.217 5.501
O 2.455 1.265 2.159
O 2.455 3.866 6.092
O 2.457 3.915 1.568
O 2.493 5.668 3.821
O 2.493 9.726 7.754
O 3.731 6.290 6.359
O 3.731 9.105 2.426
O 3.737 6.317 1.312
O 3.737 9.078 5.245
O 3.955 1.889 7.780
O 3.955 3.243 3.847
O 5.005 7.020 3.847
O 5.005 8.374 7.780
O 5.223 1.185 5.245
O 5.223 3.946 1.312
O 5.230 1.158 2.426
O 5.230 3.973 6.359
O 6.467 0.536 7.754
O 6.467 4.595 3.821
O 6.504 6.348 1.568
O 6.506 6.397 6.092
O 6.506 8.998 2.159
O 6.504 9.046 5.501
O 7.629 2.552 5.813
O 7.629 2.579 1.880
O 7.652 0.611 3.862
O 7.652 4.521 7.795
```

Results
Energy, hartree per atom: -0.291

---

5.
Material: K2NbCuO5
Method: DFT, PBE-GGA
State: relaxed

extended XYZ file:
```
18
Lattice="1.571 -8.348 0.000 1.571 8.348 0.000 0.000 0.000 10.991" Properties=species:S:1:pos:R:3 pbc="T T T"
K 1.571 6.319 5.495
K 1.571 6.262 1.106
K 1.571 -6.262 6.601
K 1.571 -6.319 0.000
Nb 1.571 4.647 8.869
Nb 1.571 -4.647 3.373
Cu 1.571 0.738 2.842
Cu 1.571 -0.738 8.338
O 1.571 7.092 9.052
O 1.571 3.475 4.680
O 1.571 3.398 2.074
O 1.571 2.833 8.842
O 1.571 0.108 1.211
O 1.571 -0.108 6.706
O 1.571 -2.833 3.346
O 1.571 -3.398 7.569
O 1.571 -3.475 10.176
O 1.571 -7.092 3.557
```

Results
Energy, hartree per atom: -0.228

---

6.
Material: K3TaNbCu3S8
Method: DFT, PBE-GGA
State: relaxed

extended XYZ file:
```
32
Lattice="12.059 -2.793 0.000 12.059 2.793 0.000 -6.787 0.000 12.697" Properties=species:S:1:pos:R:3 pbc="T T T"
K 22.421 0.000 3.171
K -5.090 0.000 9.526
K 6.202 0.302 1.873
K 2.817 -0.319 8.231
K 11.129 0.302 10.824
K 14.515 -0.319 4.466
Ta 5.884 1.146 6.034
Ta 11.447 1.146 6.662
Nb 2.491 -1.152 12.383
Nb 14.840 -1.152 0.313
Cu 2.586 1.639 12.381
Cu 8.666 1.171 6.348
Cu 14.745 1.639 0.316
Cu 5.978 -1.645 6.029
Cu 12.059 -1.174 0.000
Cu 11.353 -1.645 6.667
S 1.281 0.321 1.493
S -2.623 0.230 11.813
S -2.101 -0.337 7.849
S 0.773 -0.249 5.471
S 1.293 0.249 11.014
S 4.682 -0.240 4.668
S 10.512 0.168 1.141
S 7.106 -0.164 7.492
S 6.819 0.168 11.556
S 10.226 -0.164 5.204
S 16.038 0.249 1.683
S 12.649 -0.240 8.029
S 19.954 0.230 0.883
S 16.050 0.321 11.203
S 16.558 -0.249 7.225
S 19.432 -0.337 4.847
```

Results
Energy, hartree per atom: -0.198

---

7.
Material: KNb2CuSb
Method: DFT, PBE-GGA
State: relaxed

extended XYZ file:
```
5
Lattice="4.821 0.000 0.000 0.000 4.821 0.000 0.000 0.000 5.268" Properties=species:S:1:pos:R:3 pbc="T T T"
K 0.000 0.000 0.000
Nb 0.000 2.410 2.634
Nb 2.410 0.000 2.634
Cu 0.000 0.000 2.634
Sb 2.410 2.410 0.000
```

Results
Energy, hartree per atom: -0.175

---

8.
Material: KNbCu2Se4
Method: DFT, PBE-GGA
State: relaxed

extended XYZ file:
```
16
Lattice="6.067 0.000 0.000 0.000 8.338 0.000 0.000 0.000 9.061" Properties=species:S:1:pos:R:3 pbc="T T T"
K 0.000 0.000 0.000
K 3.034 4.169 4.530
Nb 0.000 0.000 4.530
Nb 3.034 4.169 0.000
Cu 0.000 4.169 1.222
Cu 0.000 4.169 7.839
Cu 3.034 0.000 3.309
Cu 3.034 0.000 5.752
Se 1.285 1.483 3.061
Se 1.285 6.855 6.000
Se 1.749 2.686 7.591
Se 1.749 5.653 1.470
Se 4.318 2.686 1.470
Se 4.318 5.653 7.591
Se 4.783 1.483 6.000
Se 4.783 6.855 3.061
```

Results
Energy, hartree per atom: -0.174
Energy above the lowest structure with this stoichiometry, meV/atom: 161

---

9.
Material: K2NbCuSe4
Method: DFT, PBE-GGA
State: relaxed

extended XYZ file:
```
16
Lattice="0.000 6.902 12.219 2.888 0.000 12.219 2.888 6.902 0.000" Properties=species:S:1:pos:R:3 pbc="T T T"
K 2.166 5.177 1.336
K 3.610 8.628 7.445
K 2.166 5.177 16.993
K 3.610 8.628 23.103
Nb 0.722 1.726 3.055
Nb 5.055 12.079 21.384
Cu 2.166 5.177 9.164
Cu 3.610 8.628 15.274
Se 2.139 3.136 4.444
Se 3.638 6.587 10.554
Se 2.194 7.217 4.444
Se 2.194 3.136 13.885
Se 3.583 10.668 10.554
Se 3.583 6.587 19.994
Se 2.139 7.217 13.885
Se 3.638 10.668 19.994
```

Results
Energy, hartree per atom: -0.174
Energy above the lowest structure with this stoichiometry, meV/atom: 0

---

10.
Material: KNbCu2Se4
Method: DFT, PBE-GGA
State: relaxed

extended XYZ file:
```
16
Lattice="7.814 0.000 0.000 0.000 9.653 2.867 0.000 -9.653 2.867" Properties=species:S:1:pos:R:3 pbc="T T T"
K 1.953 -6.099 2.867
K 5.860 6.099 2.867
Nb 1.953 -2.097 1.365
Nb 5.860 2.097 1.365
Cu 0.000 0.000 1.454
Cu 1.953 -2.047 4.231
Cu 3.907 0.000 1.454
Cu 5.860 2.047 4.231
Se 0.038 2.053 2.792
Se 1.953 5.601 2.788
Se 1.953 -0.057 5.688
Se 3.869 2.053 2.792
Se 3.945 -2.053 2.792
Se 5.860 -5.601 2.788
Se 5.860 0.057 5.688
Se 7.776 -2.053 2.792
```

Results
Energy, hartree per atom: -0.180
Energy above the lowest structure with this stoichiometry, meV/atom: 0

---

11.
Material: K2NbCuSe4
Method: DFT, PBE-GGA
State: relaxed

extended XYZ file:
```
16
Lattice="0.000 6.930 12.258 2.866 0.000 12.258 2.866 6.930 0.000" Properties=species:S:1:pos:R:3 pbc="T T T"
K 2.149 5.198 1.358
K 3.582 8.663 7.487
K 2.149 5.198 17.029
K 3.582 8.663 23.158
Nb 2.149 5.198 9.193
Nb 3.582 8.663 15.322
Cu 0.716 1.733 3.064
Cu 5.015 12.128 21.451
Se 2.162 3.146 4.454
Se 3.570 6.611 10.583
Se 2.137 7.249 4.454
Se 2.137 3.146 13.932
Se 3.594 10.715 10.583
Se 3.594 6.611 20.061
Se 2.162 7.249 13.932
Se 3.570 10.715 20.061
```

Results
Energy, hartree per atom: -0.174
Energy above the lowest structure with this stoichiometry, meV/atom: 8

---

12.
Material: KTiNb2Cu
Method: DFT, PBE-GGA
State: relaxed

extended XYZ file:
```
5
Lattice="4.726 0.000 0.000 0.000 4.726 0.000 0.000 0.000 5.921" Properties=species:S:1:pos:R:3 pbc="T T T"
K 0.000 0.000 0.000
Ti 0.000 0.000 2.961
Nb 0.000 2.363 2.961
Nb 2.363 0.000 2.961
Cu 2.363 2.363 0.000
```

Results
Energy, hartree per atom: -0.184
Calculated formation energy, kcal/mol of atoms: 37.48